P) VASP calculation (GGA-PBE) on a geometry-optimized HfC2I2 structure.

a b c (Å): 7.636 7.636 3.579
angles (deg): 90.00 90.00 90.00
Fractional coordinates of all 10 atoms:
I1 0.343 0.843 0.000
I2 0.843 0.657 0.000
I3 0.657 0.157 0.000
I4 0.157 0.343 0.000
C1 0.222 0.722 0.500
C2 0.722 0.778 0.500
C3 0.778 0.278 0.500
C4 0.278 0.222 0.500
Hf1 0.000 0.000 0.000
Hf2 0.500 0.500 0.000

Summary:
Size of the total moment   0.00 μB per cell
N(E_F)   7.61 states/eV per cell
Space group   No. 127

Q) VASP calculation (GGA-PBE) on a geometry-optimized HfC2I2 structure.

a b c (Å): 3.283 3.283 10.736
angles (deg): 81.21 81.21 90.00
Fractional coordinates of all 5 atoms:
I1 0.412 0.412 0.175
I2 0.588 0.588 0.825
C1 0.750 0.250 0.500
C2 0.250 0.750 0.500
Hf1 0.000 0.000 0.000

Summary:
Size of the total moment   0.00 μB per cell
N(E_F)   3.02 states/eV per cell
Space group   No. 139

What should be chosen as the least stable of them? Choose P).